# 1
Computed, not measured: a relaxed Na2Ce2Hg7 crystal at the PBE level of DFT.

Geometry as POSCAR:
```
Na2Ce2Hg7
1.0
6.814 -0.002 -0.738
0.004 7.582 0.003
-1.161 -0.003 6.755
Hg Na Ce
7 2 2
direct
0.000 0.307 0.500
0.500 0.300 0.500
0.500 0.700 0.500
0.500 0.693 0.000
0.000 0.693 0.500
0.000 0.000 0.000
0.500 0.307 0.000
0.822 0.500 0.822
0.178 0.500 0.178
0.699 0.000 0.301
0.301 0.000 0.699
```

Output
calculated volume = 342.5 Å³/cell
formation energy from the elements = -45 meV/atom
uncorrected energy = -1.56 eV/atom

# 2
Computed, not measured: a relaxed RbMgZnSn2 crystal at the PBE level of DFT.

Geometry as POSCAR:
```
RbMgZnSn2
1.0
4.883 0.000 0.000
0.000 4.883 0.000
-2.441 -2.441 6.094
Sn Mg Zn Rb
2 1 1 1
direct
0.621 0.621 0.242
0.379 0.379 0.758
0.250 0.750 0.500
0.750 0.250 0.500
0.000 0.000 0.000
```

Output
calculated volume = 145.3 Å³/cell
distance to the lowest polymorph of the same formula = 0.0000 eV/atom
formation energy from the elements = -145 meV/atom
uncorrected energy = -2.51 eV/atom

# 3
Computed, not measured: a relaxed FeBiPb2 crystal at the PBE level of DFT.

Geometry as POSCAR:
```
FeBiPb2
1.0
-1.919 4.767 2.294
1.021 -2.061 5.136
7.241 4.564 3.474
Pb Fe Bi
4 2 2
direct
0.875 0.787 0.750
0.537 0.125 0.250
0.213 0.625 0.250
0.375 0.463 0.750
0.500 0.500 0.000
0.250 0.750 0.500
0.000 0.000 0.000
0.750 0.250 0.500
```

Output
calculated volume = 264.0 Å³/cell
formation energy from the elements = 599 meV/atom
uncorrected energy = -4.34 eV/atom

# 4
Computed, not measured: a relaxed PrNd7Mg4 crystal at the PBE level of DFT.

Geometry as POSCAR:
```
PrNd7Mg4
1.0
-4.984 -0.097 -3.181
-7.218 -0.782 5.835
-4.133 7.143 0.761
Pr Nd Mg
1 7 4
direct
0.000 0.000 0.000
0.500 0.000 0.000
0.080 0.575 0.264
0.254 0.709 0.782
0.801 0.878 0.521
0.199 0.122 0.479
0.746 0.291 0.218
0.920 0.425 0.736
0.462 0.694 0.381
0.538 0.306 0.619
0.676 0.655 0.994
0.324 0.345 0.006
```

Output
calculated volume = 386.8 Å³/cell
formation energy from the elements = 119 meV/atom
uncorrected energy = -3.59 eV/atom

# 5
Computed, not measured: a relaxed MnPb crystal at the PBE level of DFT.

Geometry as POSCAR:
```
MnPb
1.0
5.999 0.000 0.000
0.000 5.999 0.000
0.000 0.000 5.181
Mn Pb
4 4
direct
0.121 0.121 0.500
0.879 0.879 0.500
0.379 0.621 0.000
0.621 0.379 0.000
0.196 0.196 0.000
0.696 0.304 0.500
0.804 0.804 0.000
0.304 0.696 0.500
```

Output
calculated volume = 186.4 Å³/cell
formation energy from the elements = 873 meV/atom
uncorrected energy = -5.57 eV/atom

# 6
Computed, not measured: a relaxed NdTm5Ni2 crystal at the PBE level of DFT.

Geometry as POSCAR:
```
NdTm5Ni2
1.0
3.602 0.000 0.000
-1.801 6.432 0.000
0.000 0.000 18.080
Ni Tm Nd
4 10 2
direct
0.279 0.559 0.631
0.721 0.441 0.131
0.279 0.559 0.869
0.721 0.441 0.369
0.332 0.664 0.055
0.401 0.802 0.750
0.936 0.873 0.592
0.668 0.336 0.945
0.599 0.198 0.250
0.668 0.336 0.555
0.064 0.127 0.408
0.064 0.127 0.092
0.936 0.873 0.908
0.332 0.664 0.445
0.671 0.342 0.750
0.329 0.658 0.250
```

Output
calculated volume = 418.9 Å³/cell
formation energy from the elements = -163 meV/atom
uncorrected energy = -5.00 eV/atom

# 7
Computed, not measured: a relaxed PuGaGeO6 crystal at the PBE level of DFT.

Geometry as POSCAR:
```
PuGaGeO6
1.0
-4.179 -1.671 -2.527
0.509 -0.938 5.050
-4.106 7.526 1.812
Ge Ga O Pu
2 2 12 2
direct
0.000 0.000 0.500
0.000 0.000 0.000
0.333 0.667 0.750
0.667 0.333 0.250
0.691 0.017 0.377
0.674 0.691 0.623
0.983 0.674 0.377
0.983 0.309 0.123
0.017 0.326 0.623
0.674 0.983 0.877
0.691 0.674 0.123
0.326 0.017 0.123
0.326 0.309 0.377
0.309 0.983 0.623
0.309 0.326 0.877
0.017 0.691 0.877
0.667 0.333 0.750
0.333 0.667 0.250
```

Output
calculated volume = 202.2 Å³/cell
uncorrected formation energy = -1878 meV per atom
uncorrected energy = -7.63 eV/atom

# 8
Computed, not measured: a relaxed Na8Te2Se crystal at the PBE level of DFT.

Geometry as POSCAR:
```
Na8Te2Se
1.0
-3.384 -3.355 0.782
5.900 -6.071 -0.512
3.118 2.210 8.067
Na Te Se
8 2 1
direct
0.195 0.375 0.390
0.805 0.625 0.610
0.009 0.807 0.017
0.412 0.394 0.824
0.665 0.992 0.330
0.991 0.193 0.983
0.335 0.008 0.670
0.588 0.606 0.176
0.205 0.747 0.410
0.795 0.253 0.590
0.500 0.000 0.000
```

Output
calculated volume = 351.9 Å³/cell
uncorrected formation energy = -692 meV per atom
uncorrected energy = -2.54 eV/atom

# 9
Computed, not measured: a relaxed Ba2SrTiAl crystal at the PBE level of DFT.

Geometry as POSCAR:
```
Ba2SrTiAl
1.0
-0.202 6.412 -1.472
-4.133 -0.868 -3.210
-4.121 1.025 5.029
Ba Ti Al Sr
2 1 1 1
direct
0.000 0.000 0.500
0.500 0.000 0.000
0.000 0.500 0.000
0.000 0.000 0.000
0.500 0.500 0.500
```

Output
calculated volume = 229.8 Å³/cell
formation energy from the elements = 454 meV/atom
uncorrected energy = -2.98 eV/atom

# 10
Computed, not measured: a relaxed PdPt crystal at the PBE level of DFT.

Geometry as POSCAR:
```
PdPt
1.0
-0.003 -0.711 -2.579
3.290 -13.981 3.851
-13.367 -2.919 0.823
Pt Pd
16 16
direct
0.000 0.500 0.836
0.750 0.750 0.414
0.500 0.000 0.836
0.750 0.750 0.086
0.750 0.250 0.914
0.250 0.750 0.914
0.750 0.250 0.586
0.250 0.250 0.086
0.500 0.000 0.164
0.500 0.500 0.664
0.000 0.000 0.664
0.500 0.500 0.336
0.000 0.500 0.164
0.000 0.000 0.336
0.250 0.750 0.586
0.250 0.250 0.414
0.500 0.592 0.500
0.500 0.408 0.500
0.500 0.908 0.000
0.250 0.342 0.250
0.750 0.342 0.750
0.250 0.658 0.750
0.750 0.158 0.750
0.000 0.408 0.000
0.750 0.842 0.250
0.000 0.592 0.000
0.250 0.158 0.250
0.000 0.092 0.500
0.500 0.092 0.000
0.750 0.658 0.250
0.250 0.842 0.750
0.000 0.908 0.500
```

Output
calculated volume = 545.2 Å³/cell
formation energy from the elements = 265 meV/atom
uncorrected energy = -5.35 eV/atom

# 11
Computed, not measured: a relaxed Zn2HgTe crystal at the PBE level of DFT.

Geometry as POSCAR:
```
Zn2HgTe
1.0
5.100 0.000 0.000
2.550 4.417 0.000
2.550 1.472 4.164
Zn Te Hg
2 1 1
direct
0.250 0.250 0.250
0.000 0.000 0.000
0.750 0.750 0.750
0.500 0.500 0.500
```

Output
calculated volume = 93.8 Å³/cell
uncorrected formation energy = 212 meV per atom
distance to the lowest polymorph of the same formula = 0.2357 eV/atom
uncorrected energy = -1.29 eV/atom

# 12
Computed, not measured: a relaxed Zr4TaGe4 crystal at the PBE level of DFT.

Geometry as POSCAR:
```
Zr4TaGe4
1.0
-3.148 3.335 5.527
4.614 -3.137 4.521
8.275 10.142 -1.408
Ge Zr Ta
16 16 4
direct
0.132 0.697 0.330
0.868 0.303 0.830
0.037 0.199 0.433
0.360 0.209 0.922
0.303 0.132 0.580
0.209 0.640 0.672
0.791 0.360 0.172
0.697 0.868 0.080
0.199 0.963 0.183
0.701 0.539 0.564
0.640 0.791 0.422
0.539 0.299 0.314
0.801 0.037 0.683
0.299 0.461 0.064
0.461 0.701 0.814
0.963 0.801 0.933
0.163 0.998 0.778
0.002 0.344 0.628
0.656 0.002 0.878
0.837 0.002 0.278
0.330 0.833 0.999
0.998 0.837 0.528
0.503 0.343 0.722
0.670 0.167 0.499
0.167 0.330 0.249
0.833 0.670 0.749
0.002 0.163 0.028
0.497 0.657 0.222
0.998 0.656 0.128
0.343 0.497 0.472
0.344 0.998 0.378
0.657 0.503 0.972
0.841 0.492 0.372
0.159 0.508 0.872
0.508 0.841 0.622
0.492 0.159 0.122
```

Output
calculated volume = 679.0 Å³/cell
formation energy from the elements = -774 meV/atom
uncorrected energy = -7.94 eV/atom

# 13
Computed, not measured: a relaxed BaCu2Te crystal at the PBE level of DFT.

Geometry as POSCAR:
```
BaCu2Te
1.0
6.698 -0.058 -0.013
4.066 5.323 0.013
-5.354 -2.688 2.994
Te Ba Cu
1 1 2
direct
0.517 0.517 0.000
0.781 0.281 0.500
0.151 0.651 0.500
0.051 0.051 0.000
```

Output
calculated volume = 107.5 Å³/cell
uncorrected formation energy = -200 meV per atom
uncorrected energy = -3.51 eV/atom

# 14
Computed, not measured: a relaxed PBr crystal at the PBE level of DFT.

Geometry as POSCAR:
```
PBr
1.0
3.000 0.000 0.000
0.000 3.000 0.000
0.000 0.000 11.402
Br P
2 2
direct
0.750 0.750 0.818
0.250 0.250 0.182
0.250 0.250 0.543
0.750 0.750 0.457
```

Output
calculated volume = 102.6 Å³/cell
uncorrected formation energy = 386 meV per atom
distance to the lowest polymorph of the same formula = 0.5156 eV/atom
uncorrected energy = -3.16 eV/atom

# 15
Computed, not measured: a relaxed Nd4Dy3HoSe8 crystal at the PBE level of DFT.

Geometry as POSCAR:
```
Nd4Dy3HoSe8
1.0
8.213 0.000 0.000
0.000 8.396 0.122
-4.106 -4.103 5.812
Dy Se Nd Ho
3 8 4 1
direct
0.500 0.500 0.000
0.500 0.500 0.500
0.000 0.500 0.500
0.244 0.734 0.990
0.756 0.266 0.010
0.254 0.266 0.010
0.244 0.734 0.488
0.255 0.265 0.510
0.746 0.734 0.990
0.745 0.735 0.490
0.756 0.266 0.512
0.500 0.000 0.500
0.500 0.000 0.000
0.000 0.000 0.500
0.000 0.000 0.000
0.000 0.500 0.000
```

Output
calculated volume = 404.8 Å³/cell
uncorrected formation energy = -1792 meV per atom
uncorrected energy = -5.88 eV/atom

# 16
Computed, not measured: a relaxed AgIrCl2 crystal at the PBE level of DFT.

Geometry as POSCAR:
```
AgIrCl2
1.0
3.429 0.000 0.000
0.000 5.821 0.160
0.000 3.819 4.397
Cl Ag Ir
2 1 1
direct
0.000 0.960 0.960
0.500 0.345 0.345
0.500 0.694 0.695
0.000 0.500 0.500
```

Output
calculated volume = 85.7 Å³/cell
uncorrected formation energy = 200 meV per atom
distance to the lowest polymorph of the same formula = 0.1648 eV/atom
uncorrected energy = -3.65 eV/atom

# 17
Computed, not measured: a relaxed Cr3CdGa crystal at the PBE level of DFT.

Geometry as POSCAR:
```
Cr3CdGa
1.0
4.740 0.000 0.000
0.000 4.740 0.000
0.000 0.000 4.740
Ga Cr Cd
1 3 1
direct
0.000 0.000 0.000
0.000 0.500 0.000
0.500 0.000 0.000
0.000 0.000 0.500
0.500 0.500 0.500
```

Output
calculated volume = 106.5 Å³/cell
distance to the lowest polymorph of the same formula = 0.0000 eV/atom
formation energy from the elements = 1044 meV/atom
uncorrected energy = -5.52 eV/atom

# 18
Computed, not measured: a relaxed Cs2TlSb2 crystal at the PBE level of DFT.

Geometry as POSCAR:
```
Cs2TlSb2
1.0
5.660 0.000 0.000
0.000 5.660 0.000
2.830 2.830 7.740
Cs Sb Tl
2 2 1
direct
0.750 0.250 0.500
0.250 0.750 0.500
0.413 0.413 0.174
0.587 0.587 0.826
0.000 0.000 0.000
```

Output
calculated volume = 248.0 Å³/cell
uncorrected formation energy = -20 meV per atom
distance to the lowest polymorph of the same formula = 0.3134 eV/atom
uncorrected energy = -2.48 eV/atom

# 19
Computed, not measured: a relaxed LaCeAu2 crystal at the PBE level of DFT.

Geometry as POSCAR:
```
LaCeAu2
1.0
-2.974 -2.724 1.021
0.211 -2.052 3.613
-4.960 4.123 5.027
Au La Ce
2 1 1
direct
0.252 0.252 0.244
0.748 0.748 0.756
0.500 0.500 0.500
0.000 0.000 0.000
```

Output
calculated volume = 117.2 Å³/cell
distance to the lowest polymorph of the same formula = 0.1222 eV/atom
formation energy from the elements = -596 meV/atom
uncorrected energy = -4.95 eV/atom

# 20
Computed, not measured: a relaxed Tm5Ge5Ru2 crystal at the PBE level of DFT.

Geometry as POSCAR:
```
Tm5Ge5Ru2
1.0
4.106 0.000 0.926
2.066 7.492 0.405
0.295 -0.563 8.255
Ge Ru Tm
5 2 5
direct
0.285 0.775 0.655
0.000 0.000 0.000
0.950 0.297 0.803
0.715 0.225 0.345
0.050 0.703 0.197
0.394 0.460 0.752
0.606 0.540 0.248
0.303 0.315 0.080
0.630 0.061 0.678
0.000 0.500 0.500
0.370 0.939 0.322
0.697 0.685 0.920
```

Output
calculated volume = 251.7 Å³/cell
formation energy from the elements = -662 meV/atom
uncorrected energy = -6.00 eV/atom